Computed, not measured: a geometry-optimized Nd2Y2HoTm structure at the GGA-PBE level of DFT.

Calculated values
* energy of formation from the pure elements: 5.5 kJ per mole of atoms
* SG: Pmma, No. 51
* spin magnetization: 0.000 μB per atom
* volume: 195.7 Å³/f.u.
* final energy: -5.19 eV per atom
* density: 6.790 g cm⁻³

Cell: 5.6617 7.0636 9.7863 Å, 90.00 90.00 90.00°
Last column: nearest neighbours and their distance in Å.
Sites, in units of the cell vectors:
Y1 0.0000 0.2577 0.1559  5 Nd 3.32-3.54, 4 Y 3.67
Y2 0.5000 0.0076 0.0001  6 Y 3.53-3.67, 2 Ho 3.60, 6 Nd 3.79-3.87
Y3 0.5000 0.5076 0.9999  6 Y 3.53-3.67, 2 Ho 3.60, 6 Nd 3.79-3.87
Y4 0.0000 0.7577 0.8441  5 Nd 3.32-3.54, 4 Y 3.67
Nd1 0.5000 0.7575 0.6484  3 Ho 3.21-3.55, 2 Y 3.42
Nd2 0.0000 0.7577 0.1834  2 Ho 3.13, 1 Y 3.32
Nd3 0.0000 0.2577 0.8166  2 Ho 3.13, 1 Y 3.32
Nd4 0.5000 0.2575 0.3516  3 Ho 3.21-3.55, 2 Y 3.42
Ho1 0.5000 0.2575 0.6798  3 Nd 3.13-3.21
Ho2 0.5000 0.7575 0.3202  3 Nd 3.13-3.21
Tm1 0.0000 0.0076 0.5001  2 Tm 3.53, 6 Nd 3.57-3.64, 4 Ho 3.77, 2 Y 3.80
Tm2 0.0000 0.5076 0.4999  2 Tm 3.53, 6 Nd 3.57-3.64, 4 Ho 3.77, 2 Y 3.80